No. 1
The following is a DFT calculation (PBE) of a relaxed Mg3ZrSc crystal.

Computed properties:
* formation energy: 0.186 eV per atom
* total magnetization: 0.469 μB per formula unit

Cell: 3.4291 14.8723 9.4112 Å, 90.00 90.00 90.00°
With the nearest neighbours (Å) after each atom.
Space group Pbcm (No. 57)
Unique sites:
Mg: 0.0011 0.0912 0.0587  3 Mg 2.93-2.97, 1 Zr 3.25
Mg: 0.4993 0.7500 0.0000  4 Zr 2.93, 4 Mg 2.97
Zr: 0.0005 0.2272 0.7500  6 Mg 2.93-3.25, 2 Sc 3.04-3.05
Sc: 0.5001 0.0580 0.7500  2 Zr 3.04-3.05, 6 Mg 3.33-3.41

No. 2
The following is a DFT calculation (PBE) of a relaxed Mg5Zr4Sc4 crystal.

Computed properties:
* formation energy: 0.010 eV per atom
* total magnetization: 0.000 μB per formula unit

Cell: 13.4527 13.4527 3.3458 Å, 90.00 90.00 90.00°
With the nearest neighbours (Å) after each atom.
Space group I4/m (No. 87)
Unique sites:
Mg: 0.0000 0.0000 0.0000  10 Mg 3.02-3.35
Mg: 0.0472 0.1805 0.5000  4 Mg 3.02-3.35, 2 Zr 3.11, 4 Sc 3.18-3.23
Zr: 0.0536 0.3750 0.0000  6 Zr 3.08-3.35, 2 Mg 3.11, 3 Sc 3.19-3.22
Sc: 0.1475 0.7547 0.0000  4 Mg 3.18-3.23, 3 Zr 3.19-3.22, 4 Sc 3.23-3.35

No. 3
The following is a DFT calculation (PBE) of a relaxed Mg2ZrSc crystal.

Computed properties:
* formation energy: 0.034 eV per atom
* total magnetization: 0.000 μB per formula unit

Cell: 4.9442 3.1006 12.1671 Å, 90.00 90.05 90.00°
With the nearest neighbours (Å) after each atom.
Space group P2_1/m (No. 11)
Unique sites:
Mg: 0.2493 0.2500 0.0741  11 Mg 3.10-3.44, 2 Sc 3.37
Mg: 0.2505 0.2500 0.8172  2 Sc 2.98, 7 Mg 3.10-3.20
Zr: 0.2487 0.7500 0.5681  5 Sc 3.02-3.23, 6 Zr 3.10-3.37
Sc: 0.2502 0.7500 0.3196  2 Mg 2.98, 5 Zr 3.02-3.23, 2 Sc 3.10

No. 4
The following is a DFT calculation (PBE) of a relaxed MgZr4Sc2 crystal.

Computed properties:
* formation energy: 0.056 eV per atom
* total magnetization: 0.000 μB per formula unit

Cell: 3.1508 33.6762 3.1235 Å, 90.00 90.00 90.00°
With the nearest neighbours (Å) after each atom.
Space group Cmmm (No. 65)
Unique sites:
Mg: 0.0000 0.0000 0.0000  4 Mg 3.12-3.15, 8 Zr 3.27
Zr: 0.0000 0.1393 0.0000  8 Zr 3.12-3.19, 4 Sc 3.17
Zr: 0.0000 0.4287 0.5000  8 Zr 3.12-3.19, 4 Mg 3.27
Sc: 0.0000 0.2934 0.5000  6 Sc 3.12-3.32, 4 Zr 3.17

No. 5
The following is a DFT calculation (PBE) of a relaxed MgZr6Sc12 crystal.

Computed properties:
* formation energy: 0.160 eV per atom
* total magnetization: 0.000 μB per formula unit

Cell: 12.1667 12.1667 10.9575 Å, 90.00 90.00 120.00°
With the nearest neighbours (Å) after each atom.
Space group R-3m (No. 166, hexagonal axes)
Unique sites:
Mg: 0.0000 0.0000 0.0000  6 Zr 3.14, 6 Sc 3.32
Zr: 0.0394 0.5197 0.6193  1 Zr 2.74, 2 Sc 3.07
Sc: 0.0000 0.2618 0.5000  6 Sc 3.02-3.28, 4 Zr 3.07-3.21
Sc: 0.0889 0.1778 0.2506  6 Sc 3.02-3.28, 1 Mg 3.32

No. 6
The following is a DFT calculation (PBE) of a relaxed Mg3ZrSc12 crystal.

Computed properties:
* formation energy: 0.024 eV per atom
* total magnetization: 0.165 μB per formula unit

Cell: 4.5850 4.5850 18.2672 Å, 90.00 90.00 90.00°
With the nearest neighbours (Å) after each atom.
Space group P4/mmm (No. 123)
Unique sites:
Mg: 0.0000 0.0000 0.0000  12 Sc 3.24
Mg: 0.0000 0.0000 0.2495  12 Sc 3.23-3.29
Zr: 0.0000 0.0000 0.5000  12 Sc 3.19-3.24
Sc: 0.0000 0.5000 0.1251  8 Sc 3.22-3.24, 4 Mg 3.23-3.24
Sc: 0.0000 0.5000 0.3787  2 Zr 3.19, 8 Sc 3.19-3.30, 2 Mg 3.29
Sc: 0.5000 0.5000 0.0000  8 Sc 3.24, 4 Mg 3.24
Sc: 0.5000 0.5000 0.2487  8 Sc 3.22-3.30, 4 Mg 3.24
Sc: 0.5000 0.5000 0.5000  8 Sc 3.19, 4 Zr 3.24